This record from Alexandria describes a geometry-optimized Cs3K4H structure. The functional is GGA-PBE.

Summary:
- Density of states at the Fermi level: 12.1 states/eV per cell
- Total moment: 0.0000 μB/atom
- Symmetry: Pmmn, No. 59
- Electronic total energy: -1.27 eV/atom

a = 5.3646 Å, b = 13.7236 Å, c = 16.6428 Å
α = 90.00°, β = 90.00°, γ = 90.00°
Atoms (fractional coordinates):
Cs 0.2500 0.0710 0.1285
Cs 0.2500 0.2500 0.8388
Cs 0.2500 0.4290 0.1285
Cs 0.7500 0.5710 0.8715
Cs 0.7500 0.7500 0.1612
Cs 0.7500 0.9290 0.8715
K 0.2500 0.2500 0.3961
K 0.2500 0.5336 0.6122
K 0.2500 0.7500 0.4102
K 0.2500 0.9664 0.6122
K 0.7500 0.0336 0.3878
K 0.7500 0.2500 0.5898
K 0.7500 0.4664 0.3878
K 0.7500 0.7500 0.6039
H 0.2500 0.7500 0.5737
H 0.7500 0.2500 0.4263